Record 1
# LiPr3Pd8 | Alexandria | PBE | relaxed
# - total DFT energy (no corrections) (eV per formula unit) = -66.04
# - DFT formation energy (meV/atom) = -687
data_LiPr3Pd8
_space_group_name_H-M_alt 'P 1'
_space_group_IT_number 1
_cell_length_a 9.497
_cell_length_b 9.497
_cell_length_c 9.497
_cell_angle_alpha 33.59
_cell_angle_beta 33.59
_cell_angle_gamma 33.59
loop_
_space_group_symop_operation_xyz
'x,y,z'
loop_
_atom_site_label
_atom_site_type_symbol
_atom_site_fract_x
_atom_site_fract_y
_atom_site_fract_z
Li1 Li 0.000 0.000 0.000
Pr1 Pr 0.358 0.358 0.358
Pr2 Pr 0.487 0.487 0.487
Pr3 Pr 0.875 0.875 0.875
Pd1 Pd 0.177 0.177 0.177
Pd2 Pd 0.428 0.428 0.925
Pd3 Pd 0.428 0.925 0.428
Pd4 Pd 0.428 0.927 0.927
Pd5 Pd 0.677 0.677 0.677
Pd6 Pd 0.925 0.428 0.428
Pd7 Pd 0.927 0.428 0.927
Pd8 Pd 0.927 0.927 0.428

Record 2
# Ce3DyRh3 | Alexandria | PBE | relaxed
# - total DFT energy (no corrections) (eV per formula unit) = -48.79
# - DFT formation energy (meV/atom) = -618
data_Ce3DyRh3
_space_group_name_H-M_alt 'P 1'
_space_group_IT_number 1
_cell_length_a 6.860
_cell_length_b 6.860
_cell_length_c 6.973
_cell_angle_alpha 90.30
_cell_angle_beta 90.30
_cell_angle_gamma 97.96
loop_
_space_group_symop_operation_xyz
'x,y,z'
loop_
_atom_site_label
_atom_site_type_symbol
_atom_site_fract_x
_atom_site_fract_y
_atom_site_fract_z
Ce1 Ce 0.186 0.814 0.000
Ce2 Ce 0.251 0.749 0.500
Ce3 Ce 0.363 0.363 0.109
Ce4 Ce 0.637 0.637 0.891
Ce5 Ce 0.749 0.251 0.500
Ce6 Ce 0.814 0.186 0.000
Dy1 Dy 0.251 0.251 0.618
Dy2 Dy 0.749 0.749 0.382
Rh1 Rh 0.031 0.485 0.270
Rh2 Rh 0.060 0.060 0.286
Rh3 Rh 0.485 0.031 0.270
Rh4 Rh 0.515 0.969 0.730
Rh5 Rh 0.940 0.940 0.714
Rh6 Rh 0.969 0.515 0.730

Record 3
# La2Ge5Ir | Alexandria | PBE | relaxed
# - total DFT energy (no corrections) (eV per formula unit) = -45.89
# - DFT formation energy (meV/atom) = -511
data_La2Ge5Ir
_space_group_name_H-M_alt 'P 1'
_space_group_IT_number 1
_cell_length_a 6.374
_cell_length_b 6.374
_cell_length_c 6.374
_cell_angle_alpha 121.34
_cell_angle_beta 121.34
_cell_angle_gamma 87.70
loop_
_space_group_symop_operation_xyz
'x,y,z'
loop_
_atom_site_label
_atom_site_type_symbol
_atom_site_fract_x
_atom_site_fract_y
_atom_site_fract_z
La1 La 0.000 0.500 0.500
La2 La 0.500 0.000 0.500
Ge1 Ge 0.024 0.024 0.568
Ge2 Ge 0.024 0.456 0.000
Ge3 Ge 0.453 0.453 0.000
Ge4 Ge 0.456 0.024 0.000
Ge5 Ge 0.456 0.456 0.432
Ir1 Ir 0.721 0.721 0.000

Record 4
# PrHBrCl | Alexandria | PBE | relaxed
# - total DFT energy (no corrections) (eV per formula unit) = -18.27
data_PrHBrCl
_space_group_name_H-M_alt 'P 1'
_space_group_IT_number 1
_cell_length_a 7.696
_cell_length_b 7.696
_cell_length_c 7.696
_cell_angle_alpha 30.23
_cell_angle_beta 30.23
_cell_angle_gamma 30.23
loop_
_space_group_symop_operation_xyz
'x,y,z'
loop_
_atom_site_label
_atom_site_type_symbol
_atom_site_fract_x
_atom_site_fract_y
_atom_site_fract_z
Pr1 Pr 0.000 0.000 0.000
H1 H 0.334 0.334 0.334
Br1 Br 0.757 0.757 0.757
Cl1 Cl 0.587 0.587 0.587

Number 1: DOS(E_F) 0.8854 states/eV per atom. Number 2: DOS(E_F) 1.6174 states/eV per atom. Number 3: DOS(E_F) 0.6188 states/eV per atom. Number 4: DOS(E_F) 0.0000 states/eV per atom.